# Cs2CoI4

A geometry-optimized Cs2CoI4 structure (PBE, Alexandria via LeMat-Bulk).

Lattice parameters (Å, degrees): 5.7105 5.7105 19.0012 90.00 90.00 90.00
Space group I4/mmm (No. 139)
Symmetry-distinct sites (fractional):
Cs (0.0000, 0.0000, 0.1418) [4 per cell]
Co (0.0000, 0.0000, 0.5000) [2 per cell]
I (0.0000, 0.0000, 0.3513) [4 per cell]
I (0.0000, 0.5000, 0.0000) [4 per cell]

Properties
- crystal system = tetragonal
- raw formation energy (kcal/mol of atoms) = -18.61
- ρ (Mg/m³) = 4.46

# CaSb2Br

A geometry-optimized CaSb2Br structure (PBE, Alexandria via LeMat-Bulk).

Lattice parameters (Å, degrees): 7.7190 7.7190 7.7190 90.00 90.00 90.00
Space group F-43m (No. 216)
Symmetry-distinct sites (fractional):
Ca (0.0000, 0.0000, 0.0000) [4 per cell]
Sb (0.0000, 0.0000, 0.5000) [4 per cell]
Sb (0.2500, 0.2500, 0.2500) [4 per cell]
Br (0.2500, 0.2500, 0.7500) [4 per cell]

Properties
- energy above the lowest structure with this stoichiometry (eV per atom) = 0.363
- crystal system = cubic
- raw formation energy (kcal/mol of atoms) = -10.91
- ρ (Mg/m³) = 5.25